Compound: U2PaC
Source: Alexandria
Functional: PBE
Structure: optimized geometry

## Properties
As for the density of states at the Fermi level: 9.53 states/eV/f.u. For the energy above the lowest structure with this stoichiometry, the calculation gives 787 meV per atom. As for the formation energy: 1011.4 meV per atom. As for the space-group type: R-3m, No. 166. The calculation puts the energy at -9.3127 eV/atom.

a = 9.430 Å, b = 9.430 Å, c = 9.430 Å
α = 19.91°, β = 19.91°, γ = 19.91°
Fractional coordinates of all 4 atoms:
U 0.073 0.073 0.073
U 0.927 0.927 0.927
Pa 0.500 0.500 0.500
C 0.000 0.000 0.000